Compound: GeMoF2
Source: Alexandria
Functional: PBE+U
Structure: relaxed

Cell and atoms, written as POSCAR:
```
GeMoF2
1.0
6.409 -4.354 7.041
8.278 -2.587 5.863
6.598 -1.682 7.952
F Mo Ge
2 1 1
Cartesian
2.515 -1.019 2.464
18.770 -7.604 18.392
10.643 -4.311 10.428
0.000 0.000 0.000
```

Computed properties:
The value obtained for the total magnetic moment is 0.28 Bohr magnetons per cell. Its symmetry is No. 166. For the energy relative to the lowest polymorph listed for this composition, the calculation gives 0.18 eV/f.u.